# 1
Density functional theory data (PBE) for a geometry-optimized HoZnAgAu structure.

a b c (Å): 4.814 4.814 4.814
angles (deg): 60.00 60.00 60.00
Sites, in units of the cell vectors:
Ho  0.000  0.000  0.000
Zn  0.500  0.500  0.500
Ag  0.250  0.250  0.250
Au  0.750  0.750  0.750

Values from the calculation:
The calculation puts the total moment at 0.00 Bohr magnetons per cell. As for the formation enthalpy at 0 K: -1.76 eV/f.u. For the density, the calculation gives 11.27 g/cm³. Its crystal system is cubic. The final energy comes out at -3.435 eV per atom.

---

# 2
Density functional theory data (PBE) for a geometry-optimized Ag2Au2I structure.

a b c (Å): 7.794 7.794 7.794
angles (deg): 150.61 150.61 42.05
Sites, in units of the cell vectors:
Ag  0.103  0.103  0.000
Ag  0.897  0.897  0.000
Au  0.250  0.750  0.500
Au  0.750  0.250  0.500
I  0.500  0.500  0.000

Values from the calculation:
The calculation puts the total moment at 0.00 Bohr magnetons per cell. For the density, the calculation gives 10.75 g/cm³. Its crystal system is tetragonal. The final energy comes out at -2.690 eV per atom. The value obtained for the energy relative to the elements, uncorrected is 0.07 eV per atom.

---

# 3
Density functional theory data (PBE) for a geometry-optimized Ag2Au3I8 structure.

a b c (Å): 9.036 9.036 19.123
angles (deg): 98.82 98.82 46.21
Sites, in units of the cell vectors:
Ag  0.042  0.587  0.826
Ag  0.413  0.958  0.674
Ag  0.587  0.042  0.326
Ag  0.958  0.413  0.174
Au  0.013  0.533  0.625
Au  0.379  0.621  0.750
Au  0.467  0.987  0.875
Au  0.533  0.013  0.125
Au  0.621  0.379  0.250
Au  0.987  0.467  0.375
I  0.134  0.187  0.783
I  0.176  0.235  0.048
I  0.187  0.134  0.283
I  0.235  0.176  0.548
I  0.300  0.464  0.377
I  0.323  0.534  0.619
I  0.464  0.300  0.877
I  0.466  0.677  0.881
I  0.534  0.323  0.119
I  0.536  0.700  0.123
I  0.677  0.466  0.381
I  0.700  0.536  0.623
I  0.765  0.824  0.452
I  0.813  0.866  0.717
I  0.824  0.765  0.952
I  0.866  0.813  0.217

Values from the calculation:
The calculation puts the total moment at 0.00 Bohr magnetons per cell. For the density, the calculation gives 5.44 g/cm³. Its crystal system is monoclinic. The final energy comes out at -2.241 eV per atom. The value obtained for the energy relative to the elements, uncorrected is -0.09 eV per atom.

---

# 4
Density functional theory data (PBE) for a geometry-optimized Ag2Au2I structure.

a b c (Å): 7.685 7.685 3.678
angles (deg): 90.00 90.00 90.00
Sites, in units of the cell vectors:
Ag  0.158  0.342  0.000
Ag  0.342  0.842  0.000
Ag  0.658  0.158  0.000
Ag  0.842  0.658  0.000
Au  0.132  0.632  0.500
Au  0.368  0.132  0.500
Au  0.632  0.868  0.500
Au  0.868  0.368  0.500
I  0.000  0.000  0.500
I  0.500  0.500  0.500

Values from the calculation:
The calculation puts the total moment at 0.00 Bohr magnetons per cell. For the density, the calculation gives 11.26 g/cm³. Its crystal system is tetragonal. The final energy comes out at -2.590 eV per atom. The value obtained for the energy relative to the elements, uncorrected is 0.17 eV per atom.

---

# 5
Density functional theory data (PBE) for a geometry-optimized AgAu2I2 structure.

a b c (Å): 7.316 7.316 7.316
angles (deg): 141.90 141.90 54.98
Sites, in units of the cell vectors:
Ag  0.000  0.000  0.000
Au  0.400  0.400  0.000
Au  0.600  0.600  0.000
I  0.250  0.750  0.500
I  0.750  0.250  0.500

Values from the calculation:
The calculation puts the total moment at 0.00 Bohr magnetons per cell. For the density, the calculation gives 8.48 g/cm³. Its crystal system is tetragonal. The final energy comes out at -1.915 eV per atom. The value obtained for the energy relative to the elements, uncorrected is 0.59 eV per atom.

---

# 6
Density functional theory data (PBE) for a geometry-optimized AgAuI3 structure.

a b c (Å): 9.344 9.344 10.913
angles (deg): 111.26 111.26 25.86
Sites, in units of the cell vectors:
Ag  0.050  0.050  0.340
Ag  0.950  0.950  0.660
Au  0.380  0.380  0.028
Au  0.620  0.620  0.972
I  0.114  0.114  0.795
I  0.130  0.130  0.148
I  0.368  0.368  0.502
I  0.632  0.632  0.498
I  0.870  0.870  0.852
I  0.886  0.886  0.205

Values from the calculation:
The calculation puts the total moment at 0.00 Bohr magnetons per cell. For the density, the calculation gives 5.90 g/cm³. Its crystal system is monoclinic. The final energy comes out at -2.206 eV per atom. The value obtained for the energy relative to the elements, uncorrected is -0.05 eV per atom.

---

# 7
Density functional theory data (PBE) for a geometry-optimized AgAu2I8 structure.

a b c (Å): 8.273 8.273 7.241
angles (deg): 96.85 96.85 74.93
Sites, in units of the cell vectors:
Ag  0.000  0.000  0.000
Au  0.203  0.203  0.616
Au  0.797  0.797  0.384
I  0.082  0.715  0.201
I  0.285  0.918  0.799
I  0.301  0.301  0.332
I  0.419  0.419  0.846
I  0.581  0.581  0.154
I  0.699  0.699  0.668
I  0.715  0.082  0.201
I  0.918  0.285  0.799

Values from the calculation:
The calculation puts the total moment at 0.00 Bohr magnetons per cell. For the density, the calculation gives 5.33 g/cm³. Its crystal system is monoclinic. The final energy comes out at -1.945 eV per atom. The value obtained for the energy relative to the elements, uncorrected is 0.04 eV per atom.

---

# 8
Density functional theory data (PBE) for a geometry-optimized Ag2AuI structure.

a b c (Å): 5.020 5.020 5.020
angles (deg): 60.00 60.00 60.00
Sites, in units of the cell vectors:
Ag  0.250  0.250  0.250
Ag  0.750  0.750  0.750
Au  0.000  0.000  0.000
I  0.500  0.500  0.500

Values from the calculation:
The calculation puts the total moment at 0.00 Bohr magnetons per cell. For the density, the calculation gives 10.02 g/cm³. Its crystal system is cubic. The final energy comes out at -2.350 eV per atom. The value obtained for the energy relative to the elements, uncorrected is 0.28 eV per atom.

---

# 9
Density functional theory data (PBE) for a geometry-optimized Ag2AuI6 structure.

a b c (Å): 7.418 7.485 13.759
angles (deg): 90.00 107.70 90.00
Sites, in units of the cell vectors:
Ag  0.142  0.138  0.163
Ag  0.142  0.362  0.663
Ag  0.858  0.638  0.337
Ag  0.858  0.862  0.837
Au  0.500  0.000  0.000
Au  0.500  0.500  0.500
I  0.067  0.015  0.724
I  0.067  0.485  0.224
I  0.278  0.686  0.588
I  0.278  0.814  0.088
I  0.379  0.199  0.564
I  0.379  0.301  0.064
I  0.621  0.699  0.936
I  0.621  0.801  0.436
I  0.722  0.186  0.912
I  0.722  0.314  0.412
I  0.933  0.515  0.776
I  0.933  0.985  0.276

Values from the calculation:
The calculation puts the total moment at 0.00 Bohr magnetons per cell. For the density, the calculation gives 5.36 g/cm³. Its crystal system is monoclinic. The final energy comes out at -2.133 eV per atom. The value obtained for the energy relative to the elements, uncorrected is -0.10 eV per atom.

---

# 10
Density functional theory data (PBE) for a geometry-optimized AgAuI4 structure.

a b c (Å): 7.175 4.613 14.681
angles (deg): 90.00 117.20 90.00
Sites, in units of the cell vectors:
Ag  0.000  0.000  0.000
Ag  0.000  0.500  0.500
Au  0.500  0.000  0.500
Au  0.500  0.500  0.000
I  0.196  0.183  0.852
I  0.196  0.317  0.352
I  0.309  0.077  0.619
I  0.309  0.423  0.119
I  0.691  0.577  0.881
I  0.691  0.923  0.381
I  0.804  0.683  0.648
I  0.804  0.817  0.148

Values from the calculation:
The calculation puts the total moment at 0.00 Bohr magnetons per cell. For the density, the calculation gives 6.24 g/cm³. Its crystal system is monoclinic. The final energy comes out at -2.144 eV per atom. The value obtained for the energy relative to the elements, uncorrected is -0.09 eV per atom.

---

# 11
Density functional theory data (PBE) for a geometry-optimized Ag2AuI3 structure.

a b c (Å): 8.067 8.067 8.067
angles (deg): 146.38 60.02 131.83
Sites, in units of the cell vectors:
Ag  0.167  0.000  0.167
Ag  0.833  0.000  0.833
Au  0.507  0.007  0.500
I  0.088  0.753  0.336
I  0.417  0.753  0.664
I  0.746  0.746  0.000

Values from the calculation:
The calculation puts the total moment at 0.00 Bohr magnetons per cell. For the density, the calculation gives 6.14 g/cm³. Its crystal system is orthorhombic. The final energy comes out at -2.420 eV per atom. The value obtained for the energy relative to the elements, uncorrected is -0.15 eV per atom.